## YCuH8Rh2 (PBE)

Data for a geometry-optimized YCuH8Rh2 structure.

CIF file:
```
data_YCuH8Rh2
_space_group_name_H-M_alt 'R -3'
_space_group_IT_number 148
_space_group_name_Hall '-R 3'
_cell_length_a 4.7071
_cell_length_b 4.7071
_cell_length_c 15.8505
_cell_angle_alpha 90.00
_cell_angle_beta 90.00
_cell_angle_gamma 120.00
loop_
_atom_site_label
_atom_site_fract_x
_atom_site_fract_y
_atom_site_fract_z
_atom_site_occupancy
Y1 0.0000 0.0000 0.0000 1
Cu1 0.0000 0.0000 0.5000 1
H1 0.0000 0.0000 0.3135 1
H2 0.0103 0.7131 0.1171 1
Rh1 0.0000 0.0000 0.2080 1
```

Properties
For the calculated density, the calculation gives 6.00 g cm⁻³. The raw total energy is -4.52 eV per atom. Its density of states at the Fermi level is 4.8 states/eV per cell.